# TlGe3S

A relaxed TlGe3S crystal (PBE, Alexandria via LeMat-Bulk).

Properties
Raw formation energy = 1.1610 eV/atom
Energy above the lowest structure with this stoichiometry = 715 meV per atom
Energy = -14.541 eV for the cell shown

a = 5.363 Å, b = 5.363 Å, c = 5.363 Å
α = 90.00°, β = 90.00°, γ = 90.00°
Atoms (fractional coordinates):
S 0.500 0.500 0.500
Ge 0.500 0.000 0.000
Tl 0.000 0.000 0.000
Ge 0.000 0.000 0.500
Ge 0.000 0.500 0.000

# TlGeS2

A relaxed TlGeS2 crystal (PBE, Alexandria via LeMat-Bulk).

Properties
Raw formation energy = -0.2936 eV/atom
Energy = -65.652 eV for the cell shown

a = 5.824 Å, b = 8.574 Å, c = 8.933 Å
α = 90.00°, β = 90.00°, γ = 90.00°
Atoms (fractional coordinates):
S 0.420 0.205 0.218
S 0.395 0.019 0.612
Ge 0.495 0.474 0.139
S 0.895 0.981 0.388
Ge 0.495 0.974 0.361
S 0.920 0.795 0.782
Tl 0.942 0.634 0.434
Tl 0.442 0.366 0.566
Ge 0.995 0.526 0.861
S 0.920 0.295 0.718
Ge 0.995 0.026 0.639
S 0.895 0.481 0.112
Tl 0.942 0.134 0.066
Tl 0.442 0.866 0.934
S 0.420 0.705 0.282
S 0.395 0.519 0.888

# Tl2GeS

A relaxed Tl2GeS crystal (PBE, Alexandria via LeMat-Bulk).

Properties
Raw formation energy = 0.0595 eV/atom
Energy above the lowest structure with this stoichiometry = 0 meV per atom
Energy = -26.478 eV for the cell shown

a = 6.265 Å, b = 6.265 Å, c = 7.828 Å
α = 66.41°, β = 66.41°, γ = 90.00°
Atoms (fractional coordinates):
Tl 0.375 0.366 0.750
S 0.500 0.500 0.000
Tl 0.875 0.884 0.750
Ge 0.000 0.000 0.000
Ge 0.750 0.250 0.500
Tl 0.634 0.125 0.250
Tl 0.116 0.625 0.250
S 0.250 0.750 0.500

# TlGeS2

A relaxed TlGeS2 crystal (PBE, Alexandria via LeMat-Bulk).

Properties
Raw formation energy = -0.2023 eV/atom
Energy = -16.048 eV for the cell shown

a = 9.204 Å, b = 9.204 Å, c = 9.204 Å
α = 21.99°, β = 21.99°, γ = 21.99°
Atoms (fractional coordinates):
Ge 0.500 0.500 0.500
S 0.115 0.115 0.115
S 0.885 0.885 0.885
Tl 0.000 0.000 0.000

# Tl2GeS2

A relaxed Tl2GeS2 crystal (PBE, Alexandria via LeMat-Bulk).

Properties
Raw formation energy = -0.2790 eV/atom
Energy above the lowest structure with this stoichiometry = 0 meV per atom
Energy = -76.000 eV for the cell shown

a = 8.777 Å, b = 7.628 Å, c = 9.185 Å
α = 108.90°, β = 90.00°, γ = 90.00°
Atoms (fractional coordinates):
S 0.532 0.287 0.166
Tl 0.741 0.966 0.946
Tl 0.905 0.279 0.298
Tl 0.095 0.721 0.702
Tl 0.241 0.534 0.054
Ge 0.580 0.643 0.599
S 0.468 0.713 0.834
S 0.696 0.988 0.622
Ge 0.420 0.357 0.401
Tl 0.259 0.034 0.054
Tl 0.595 0.779 0.298
Tl 0.405 0.221 0.702
S 0.804 0.488 0.622
S 0.032 0.213 0.834
Ge 0.920 0.143 0.599
S 0.196 0.512 0.378
Ge 0.080 0.857 0.401
S 0.304 0.012 0.378
Tl 0.759 0.466 0.946
S 0.968 0.787 0.166

# Tl2Ge2S

A relaxed Tl2Ge2S crystal (PBE, Alexandria via LeMat-Bulk).

Properties
Raw formation energy = 0.1583 eV/atom
Energy = -34.606 eV for the cell shown

a = 6.903 Å, b = 6.903 Å, c = 5.209 Å
α = 90.00°, β = 90.00°, γ = 90.00°
Atoms (fractional coordinates):
Ge 0.142 0.358 0.000
Ge 0.642 0.142 0.000
Ge 0.358 0.858 0.000
Ge 0.858 0.642 0.000
S 0.000 0.000 0.000
Tl 0.679 0.821 0.500
Tl 0.821 0.321 0.500
Tl 0.179 0.679 0.500
S 0.500 0.500 0.000
Tl 0.321 0.179 0.500

# Tl2GeS2

A relaxed Tl2GeS2 crystal (PBE, Alexandria via LeMat-Bulk).

Properties
Raw formation energy = 0.2816 eV/atom
Energy above the lowest structure with this stoichiometry = 561 meV per atom
Energy = -32.393 eV for the cell shown

a = 7.918 Å, b = 7.918 Å, c = 3.832 Å
α = 90.00°, β = 90.00°, γ = 90.00°
Atoms (fractional coordinates):
Tl 0.855 0.645 0.000
S 0.337 0.163 0.500
S 0.837 0.337 0.500
Ge 0.000 0.000 0.000
S 0.163 0.663 0.500
Tl 0.355 0.855 0.000
Tl 0.145 0.355 0.000
Tl 0.645 0.145 0.000
Ge 0.500 0.500 0.000
S 0.663 0.837 0.500

# Tl5Ge2S5

A relaxed Tl5Ge2S5 crystal (PBE, Alexandria via LeMat-Bulk).

Properties
Raw formation energy = -0.2807 eV/atom
Energy = -45.072 eV for the cell shown

a = 4.507 Å, b = 7.213 Å, c = 11.674 Å
α = 106.10°, β = 90.00°, γ = 108.21°
Atoms (fractional coordinates):
S 0.386 0.773 0.211
S 0.000 0.000 0.000
Tl 0.754 0.508 0.355
S 0.614 0.227 0.789
Ge 0.964 0.928 0.204
S 0.108 0.217 0.369
S 0.892 0.783 0.631
Ge 0.036 0.072 0.796
Tl 0.500 0.000 0.500
Tl 0.655 0.309 0.051
Tl 0.345 0.691 0.949
Tl 0.246 0.492 0.645

> Which of these has the lowest energy?

number 5